[1]
DFT (PBE) results for an optimized crystal structure of Er5ZrTl4.

Properties
space group	P4/mmm (123)
E_tot	-4.33	eV/atom
E_form	-0.246	eV per atom

The structure in POSCAR format:
```
Er5ZrTl4
1.0
3.5509 0.0000 0.0000
0.0000 3.5509 0.0000
0.0000 0.0000 21.2371
Tl Er Zr
4 5 1
Cartesian
0.0000 0.0000 16.9313
0.0000 0.0000 4.3058
0.0000 0.0000 8.5092
0.0000 0.0000 12.7279
1.7755 1.7755 6.3847
1.7755 1.7755 2.1748
1.7755 1.7755 14.8524
1.7755 1.7755 10.6186
1.7755 1.7755 19.0623
0.0000 0.0000 0.0000
```

---

[2]
DFT (PBE) results for an optimized crystal structure of Er4ZrTl5.

Properties
space group	P4/mmm (123)
E_tot	-4.11	eV/atom
E_form	-0.248	eV per atom

The structure in POSCAR format:
```
Er4ZrTl5
1.0
-0.9622 -1.4509 3.1072
1.8454 -2.9391 -0.8009
16.5360 7.9726 8.8433
Tl Er Zr
5 4 1
Cartesian
15.4148 5.0242 9.1607
5.3453 0.1693 3.7756
2.0044 -1.4415 1.9889
8.7096 1.7913 5.5748
12.0739 3.4134 7.3740
6.5772 3.1711 3.5174
3.2156 1.5504 1.7197
9.9588 4.8015 5.3259
13.3204 6.4223 7.1237
0.0000 0.0000 0.0000
```

---

[3]
DFT (PBE) results for an optimized crystal structure of Er2Zr2Tl3.

Properties
space group	Cmmm (65)
E_tot	-4.81	eV/atom
E_form	-0.046	eV per atom

The structure in POSCAR format:
```
Er2Zr2Tl3
1.0
-2.7755 3.4169 -1.3346
-2.1923 -2.2211 -1.1275
-6.5562 1.5542 9.6866
Tl Zr Er
3 2 2
Cartesian
0.0000 0.0000 0.0000
-4.9560 1.6020 6.4809
-4.3757 3.3692 1.8711
-6.8807 2.2166 4.1296
-4.6434 0.5335 3.0949
-8.2777 2.1749 6.9283
-3.2463 0.5752 0.2962
```

---

[4]
DFT (PBE) results for an optimized crystal structure of ErZrTl2.

Properties
space group	P4/mmm (123)
E_tot	-4.60	eV/atom
E_form	-0.137	eV per atom

The structure in POSCAR format:
```
ErZrTl2
1.0
4.2975 0.0000 0.0000
0.0000 4.7878 0.0000
0.0000 0.0000 4.7878
Tl Zr Er
2 1 1
Cartesian
0.0000 0.0000 2.3939
0.0000 2.3939 0.0000
2.1487 0.0000 0.0000
2.1487 2.3939 2.3939
```

---

[5]
DFT (PBE) results for an optimized crystal structure of Er3ZrTl4.

Properties
space group	Pmma (51)
E_tot	-4.17	eV/atom
E_form	-0.210	eV per atom

The structure in POSCAR format:
```
Er3ZrTl4
1.0
5.4366 0.0000 0.0000
0.0000 7.0548 0.0000
0.0000 0.0000 10.7043
Er Zr Tl
6 2 8
Cartesian
2.2740 3.5274 2.6761
3.1626 3.5274 8.0282
3.0911 0.0000 8.0282
0.0000 0.0000 5.3522
2.3456 0.0000 2.6761
0.0000 0.0000 0.0000
0.0000 3.5274 5.3522
0.0000 3.5274 0.0000
2.7183 5.2580 0.0000
5.0187 1.8002 2.6761
0.4180 1.8002 8.0282
0.4180 5.2546 8.0282
2.7183 1.7968 5.3522
5.0187 5.2546 2.6761
2.7183 1.7968 0.0000
2.7183 5.2580 5.3522
```

---

[6]
DFT (PBE) results for an optimized crystal structure of ErTm2.

Properties
space group	Cmcm (63)
E_tot	-4.38	eV/atom
energy relative to the lowest polymorph listed for this composition	0.1210	eV per atom
E_form	0.120	eV per atom

The structure in POSCAR format:
```
ErTm2
1.0
-1.9712 -0.6757 5.2363
-1.7417 -3.0703 -1.0519
8.1120 -4.4138 -0.5486
Tm Er
4 2
Cartesian
2.4906 -4.8343 0.3137
-1.2249 -3.3520 2.1391
1.9086 -3.3255 3.3221
5.6241 -4.8079 1.4967
3.5121 -6.5105 3.5147
0.8871 -1.6494 0.1211
```

---

[7]
DFT (PBE) results for an optimized crystal structure of ErTm.

Properties
space group	Pm-3m (221)
E_tot	-4.38	eV/atom
energy relative to the lowest polymorph listed for this composition	0.1403	eV per atom
E_form	0.136	eV per atom

The structure in POSCAR format:
```
ErTm
1.0
-1.6393 -2.5605 -2.5086
0.6184 -2.9192 2.5754
-3.5309 0.6775 1.6158
Er Tm
1 1
Cartesian
0.0000 0.0000 0.0000
-2.2759 -2.4011 0.8413
```

---

[8]
DFT (PBE) results for an optimized crystal structure of Er3Tm.

Properties
space group	P6_3/mmc (194)
E_tot	-4.54	eV/atom
energy relative to the lowest polymorph listed for this composition	0.0046	eV per atom
E_form	0.001	eV per atom

The structure in POSCAR format:
```
Er3Tm
1.0
7.1351 0.0000 0.0000
-3.5675 6.1792 0.0000
0.0000 0.0000 5.5463
Er Tm
6 2
Cartesian
1.7819 5.1482 1.3866
5.3494 1.0309 4.1597
-1.7819 5.1482 1.3866
0.0000 2.0619 1.3866
1.7857 1.0309 4.1597
3.5675 4.1172 4.1597
3.5675 2.0597 1.3866
0.0000 4.1194 4.1597
```

---

[9]
DFT (PBE) results for an optimized crystal structure of Er2Tm7.

Properties
space group	P-62m (189)
E_tot	-4.45	eV/atom
energy relative to the lowest polymorph listed for this composition	0.0073	eV per atom
E_form	0.038	eV per atom

The structure in POSCAR format:
```
Er2Tm7
1.0
3.5089 0.0000 0.0000
0.0000 9.4770 0.0000
0.0000 -4.7385 8.2073
Tm Er
7 2
Cartesian
0.0000 3.2952 5.7074
0.0000 2.8867 0.0000
1.7544 1.7137 2.9682
1.7544 -3.0248 5.2391
1.7544 0.0000 0.0000
1.7544 6.0496 0.0000
0.0000 -1.4433 2.4999
0.0000 4.7385 2.7358
0.0000 0.0000 5.4715
```

---

[10]
DFT (PBE) results for an optimized crystal structure of Er3Tm4.

Properties
space group	C2/m (12)
E_tot	-4.48	eV/atom
E_form	0.026	eV per atom

The structure in POSCAR format:
```
Er3Tm4
1.0
-4.2703 -1.2106 2.1485
-0.2176 -6.5995 -4.1512
4.8823 -1.3173 3.3025
Er Tm
3 4
Cartesian
0.0000 0.0000 0.0000
-1.8977 -5.5946 -1.2653
2.2922 -3.5329 2.5652
-0.9893 -2.3732 2.3555
-0.2972 -5.7482 1.8294
0.6916 -3.3793 -0.5296
1.3837 -6.7543 -1.0556
```

---

[11]
DFT (PBE) results for an optimized crystal structure of Er3Tm2.

Properties
space group	C2/c (15)
E_tot	-4.53	eV/atom
energy relative to the lowest polymorph listed for this composition	0.0000	eV per atom
E_form	-0.002	eV per atom

The structure in POSCAR format:
```
Er3Tm2
1.0
-4.9491 -1.7565 -3.2470
-5.5729 -1.2275 3.2879
-6.2397 7.0773 -0.1883
Er Tm
6 4
Cartesian
-11.3002 4.4525 1.1200
-5.4615 -0.3592 -1.2674
-13.0156 1.9809 -0.7987
-6.5653 0.5556 1.8771
-3.7461 2.1124 0.6513
-10.1964 3.5376 -2.0245
-6.9719 2.8223 -0.6926
-8.4807 6.0064 -0.1153
-9.7899 1.2710 0.5452
-8.2810 -1.9131 -0.0322
```

---

[12]
DFT (PBE) results for an optimized crystal structure of Er2Tm.

Properties
space group	I4/mmm (139)
E_tot	-4.51	eV/atom
energy relative to the lowest polymorph listed for this composition	0.0006	eV per atom
E_form	0.026	eV per atom

The structure in POSCAR format:
```
Er2Tm
1.0
3.4861 0.0000 0.0000
0.0000 3.4861 0.0000
-1.7430 -1.7430 7.4380
Tm Er
1 2
Cartesian
0.0000 0.0000 0.0000
0.0000 0.0000 4.9621
1.7430 1.7430 2.4759
```